VGaS4 PBE-GGA relaxed; energy relative to the lowest polymorph listed for this composition = 0.000 eV/atom; symmetry = No. 82; energy relative to the elements, uncorrected = -576 meV/atom
1.0
5.5112 0.0000 0.0000
0.0000 5.5112 0.0000
0.0000 0.0000 9.7889
V Ga S
2 2 8
Cartesian
0.0000 0.0000 0.0000 V
2.7556 2.7556 4.8945 V
0.0000 2.7556 7.3417 Ga
2.7556 0.0000 2.4472 Ga
1.2690 4.2036 8.6142 S
1.3075 1.2690 1.1747 S
1.4480 1.4866 6.0691 S
1.4866 4.0631 3.7198 S
4.0246 1.4480 3.7198 S
4.0631 4.0246 6.0691 S
4.2036 4.2422 1.1747 S
4.2422 1.3075 8.6142 S